12
Lattice="2.4750 1.4289 8.0915 -2.4750 1.4289 8.0915 0.0000 -2.8579 8.0915" Properties=species:S:1:pos:R:3 comment="PBE Tm3Ni8Ru, relaxed" crystal_system=trigonal vol_a3_per_cell=171.7 total_energy_ev_per_cell=-73.1 magnetic_moment_mub_per_atom=0.27 pbc="T T T"
Tm 0.0000 0.0000 0.0000
Tm 0.0000 0.0000 3.1813
Tm 0.0000 0.0000 12.6312
Ni -1.2338 -0.7123 9.7691
Ni 0.0000 -1.4169 5.7472
Ni -1.2271 0.7085 5.7472
Ni 0.0000 0.0000 7.7478
Ni 1.2271 0.7085 5.7472
Ni 1.2338 -0.7123 9.7691
Ni 0.0000 1.4247 9.7691
Ni 0.0000 0.0000 19.9037
Ru 0.0000 0.0000 15.6180



20
Lattice="9.5894 0.0000 0.0000 0.0000 9.5894 0.0000 0.0000 0.0000 3.0648" Properties=species:S:1:pos:R:3 comment="PBE Sc2TaB2Os5, relaxed" crystal_system=tetragonal vol_a3_per_cell=281.8 total_energy_ev_per_cell=-197.4 magnetic_moment_mub_per_atom=0.00 pbc="T T T"
Sc 1.6847 3.1100 0.0000
Sc 3.1100 7.9047 0.0000
Sc 6.4794 1.6847 0.0000
Sc 7.9047 6.4794 0.0000
Ta 0.0000 0.0000 0.0000
Ta 4.7947 4.7947 0.0000
B 1.1593 5.9540 0.0000
B 3.6354 1.1593 0.0000
B 5.9540 8.4301 0.0000
B 8.4301 3.6354 0.0000
Os 0.0000 4.7947 1.5324
Os 0.6758 7.4928 1.5324
Os 2.0965 0.6758 1.5324
Os 2.6981 5.4705 1.5324
Os 4.1189 2.6981 1.5324
Os 4.7947 0.0000 1.5324
Os 5.4705 6.8912 1.5324
Os 6.8912 4.1189 1.5324
Os 7.4928 8.9136 1.5324
Os 8.9136 2.0965 1.5324



3
Lattice="-1.9544 1.9544 7.1983 1.9544 -1.9544 7.1983 1.9544 1.9544 -7.1983" Properties=species:S:1:pos:R:3 comment="PBE AcICl, relaxed" e_form_raw_ev_per_atom=-1.659 de_polymorph_ev_per_fu=0.00 crystal_system=tetragonal vol_a3_per_cell=110.0 total_energy_ev_per_cell=-12.5 magnetic_moment_mub_per_atom=0.00 pbc="T T T"
Ac 0.0000 0.0000 0.0000
I 0.0000 0.0000 9.2334
Cl 0.0000 0.0000 5.6361



10
Lattice="7.9113 0.0000 0.0000 0.0000 7.9113 0.0000 0.0000 0.0000 2.9078" Properties=species:S:1:pos:R:3 comment="PBE V2Ge2Bi, relaxed" de_polymorph_ev_per_fu=0.44 crystal_system=tetragonal vol_a3_per_cell=182.0 total_energy_ev_per_cell=-60.2 magnetic_moment_mub_per_atom=0.52 pbc="T T T"
V 1.1217 2.8339 0.0000
V 2.8339 6.7895 0.0000
V 5.0774 1.1217 0.0000
V 6.7895 5.0774 0.0000
Ge 1.1538 5.1095 1.4539
Ge 2.8018 1.1538 1.4539
Ge 5.1095 6.7574 1.4539
Ge 6.7574 2.8018 1.4539
Bi 0.0000 0.0000 1.4539
Bi 3.9556 3.9556 1.4539



5
Lattice="5.4469 0.0000 0.0000 0.0000 5.4469 0.0000 0.0000 0.0000 3.1986" Properties=species:S:1:pos:R:3 comment="PBE Na2HIrPd, relaxed" crystal_system=tetragonal vol_a3_per_cell=94.9 total_energy_ev_per_cell=-17.1 magnetic_moment_mub_per_atom=0.06 pbc="T T T"
Na 0.0000 2.7234 0.0000
Na 2.7234 0.0000 0.0000
H 0.0000 0.0000 1.5993
Ir 0.0000 0.0000 0.0000
Pd 2.7234 2.7234 1.5993



18
Lattice="-4.2381 4.2381 5.8199 4.2381 -4.2381 5.8199 4.2381 4.2381 -5.8199" Properties=species:S:1:pos:R:3 comment="PBE Ho3InGa5, relaxed" crystal_system=tetragonal vol_a3_per_cell=418.1 total_energy_ev_per_cell=-67.7 magnetic_moment_mub_per_atom=0.00 pbc="T T T"
Ho 5.3373 1.0992 0.0000
Ho 0.0000 0.0000 2.9099
Ho 1.0992 3.1390 0.0000
Ho 3.1390 1.0992 5.8199
Ho 0.0000 0.0000 8.7298
Ho -1.0992 3.1390 5.8199
In 4.2381 0.0000 2.9099
In 0.0000 4.2381 2.9099
Ga 0.0000 0.0000 0.0000
Ga 2.6072 1.6310 -1.7415
Ga 2.6072 -1.6310 4.0784
Ga 2.6072 1.6310 1.7415
Ga 2.6072 -1.6310 7.5614
Ga 0.0000 0.0000 5.8199
Ga 1.6310 5.8691 -1.7415
Ga 1.6310 2.6072 4.0784
Ga 1.6310 5.8691 1.7415
Ga 1.6310 2.6072 7.5614



3
Lattice="3.9761 0.0000 0.0000 -1.9880 3.4434 0.0000 0.0000 0.0000 4.3834" Properties=species:S:1:pos:R:3 comment="PBE EuBePt, relaxed" crystal_system=hexagonal vol_a3_per_cell=60.0 total_energy_ev_per_cell=-22.1 magnetic_moment_mub_per_atom=2.36 pbc="T T T"
Eu 0.0000 0.0000 0.0000
Be 0.0000 2.2956 2.1917
Pt 1.9880 1.1478 2.1917



4
Lattice="0.0000 3.3595 3.3595 3.3595 0.0000 3.3595 3.3595 3.3595 0.0000" Properties=species:S:1:pos:R:3 comment="PBE LaTaPt2, relaxed" de_polymorph_ev_per_fu=1.99 crystal_system=cubic vol_a3_per_cell=75.8 total_energy_ev_per_cell=-30.0 magnetic_moment_mub_per_atom=0.00 pbc="T T T"
La 0.0000 0.0000 0.0000
Ta 5.0393 5.0393 5.0393
Pt 1.6798 1.6798 1.6798
Pt 3.3595 3.3595 3.3595



11
Lattice="7.2185 -5.3344 0.0000 7.2185 5.3344 0.0000 -0.4274 0.0000 7.4611" Properties=species:S:1:pos:R:3 comment="PBE PaHg2I8, relaxed" e_form_raw_ev_per_atom=-0.572 de_polymorph_ev_per_fu=0.00 crystal_system=monoclinic vol_a3_per_cell=574.6 total_energy_ev_per_cell=-28.8 magnetic_moment_mub_per_atom=0.09 pbc="T T T"
Pa 0.0000 0.0000 0.0000
Hg 3.1720 0.0000 1.4005
Hg 10.8377 0.0000 6.0605
I 5.6494 3.1767 5.6526
I 2.1356 0.0000 5.8480
I 8.3603 3.1767 1.8085
I 5.6691 0.0000 2.3356
I 8.3405 0.0000 5.1254
I 5.6494 -3.1767 5.6526
I 11.8741 0.0000 1.6131
I 8.3603 -3.1767 1.8085